1.
LiDy2Cd after structural relaxation. Source: the Alexandria database, functional PBE.

Geometry as POSCAR:
```
LiDy2Cd
1.0
3.399 0.000 0.000
-1.700 2.944 0.000
0.000 0.000 34.870
Li Dy Cd
3 6 3
Direct
0.000 0.000 0.000
0.333 0.667 0.667
0.667 0.333 0.333
0.000 0.000 0.093
0.000 0.000 0.907
0.333 0.667 0.574
0.333 0.667 0.760
0.667 0.333 0.240
0.667 0.333 0.426
0.000 0.000 0.500
0.333 0.667 0.167
0.667 0.333 0.833
```

Properties
- ΔE to the lowest computed polymorph: 243 meV/atom
- Crystal system: trigonal
- Formation enthalpy at 0 K: 0.13 eV/atom
- DFT total energy: -11.5 eV/f.u.


2.
Li3DyCd4 after structural relaxation. Source: the Alexandria database, functional PBE.

Geometry as POSCAR:
```
Li3DyCd4
1.0
3.433 0.000 0.000
0.000 3.433 0.000
0.000 0.000 13.818
Li Dy Cd
3 1 4
Direct
0.000 0.000 0.000
0.000 0.000 0.231
0.000 0.000 0.769
0.000 0.000 0.500
0.500 0.500 0.115
0.500 0.500 0.344
0.500 0.500 0.656
0.500 0.500 0.885
```

Properties
- Crystal system: tetragonal
- Formation enthalpy at 0 K: -0.26 eV/atom
- DFT total energy: -16.1 eV/f.u.


3.
LiDy2Cd8 after structural relaxation. Source: the Alexandria database, functional PBE.

Geometry as POSCAR:
```
LiDy2Cd8
1.0
7.927 -2.418 0.000
7.927 2.418 0.000
-1.772 0.000 6.537
Li Dy Cd
1 2 8
Direct
0.000 0.000 0.000
0.283 0.283 0.340
0.717 0.717 0.660
0.093 0.093 0.425
0.155 0.155 0.883
0.351 0.351 0.848
0.478 0.478 0.268
0.522 0.522 0.732
0.649 0.649 0.152
0.845 0.845 0.117
0.907 0.907 0.575
```

Properties
- Crystal system: monoclinic
- Formation enthalpy at 0 K: -0.21 eV/atom
- DFT total energy: -20.7 eV/f.u.


4.
Li5DyCd6 after structural relaxation. Source: the Alexandria database, functional PBE.

Geometry as POSCAR:
```
Li5DyCd6
1.0
4.846 0.000 0.000
0.000 6.939 0.000
-2.403 0.000 7.217
Li Dy Cd
5 1 6
Direct
0.000 0.000 0.000
0.329 0.500 0.663
0.338 0.000 0.680
0.662 0.000 0.320
0.671 0.500 0.337
0.000 0.500 0.000
0.176 0.231 0.348
0.176 0.769 0.348
0.500 0.226 0.000
0.500 0.774 0.000
0.824 0.231 0.652
0.824 0.769 0.652
```

Properties
- Crystal system: monoclinic
- Formation enthalpy at 0 K: -0.24 eV/atom
- DFT total energy: -22.5 eV/f.u.


Question: What is the formation enthalpy at 0 K in the first record?
Answer: 0.13 eV/atom


Question: Which of these has the lowest DFT total energy?
Answer: Li5DyCd6


Question: Which formula does entry 4 have?
Answer: Li5DyCd6


Question: formation enthalpy at 0 K of number 1 (LiDy2Cd)?
Answer: 0.13 eV/atom